1.
Entry from Alexandria: an optimized crystal structure of NaHF3 (PBE-GGA).

```
5
Lattice="3.539 0.000 0.000 0.000 3.539 0.000 0.000 0.000 3.539" Properties=species:S:1:pos:R:3 pbc="T T T"
Na 0.000 0.000 0.000
H 1.769 1.769 1.769
F 0.000 1.769 1.769
F 1.769 0.000 1.769
F 1.769 1.769 0.000
```

Summary:
As for the magnetic moment: 1.0 μB per formula unit. The relative energy among the computed polymorphs comes out at 2.85 eV per formula unit. For the raw total energy, the calculation gives -3.203 eV per atom.

=====

2.
Entry from Alexandria: an optimized crystal structure of Na2H2F5 (PBE-GGA).

```
18
Lattice="-7.455 2.806 2.558 7.455 -2.806 2.558 7.455 2.806 -2.558" Properties=species:S:1:pos:R:3 pbc="T T T"
Na 1.988 0.290 0.000
Na 5.468 0.290 0.000
Na 1.988 2.516 2.558
Na 5.468 2.516 2.558
H 0.000 0.000 1.806
H 7.455 0.000 1.806
H 3.728 -0.967 3.233
H 3.728 3.773 0.675
F 3.728 1.554 -1.174
F 6.912 1.803 -0.840
F 7.999 -1.003 1.718
F 10.038 1.797 0.708
F 4.873 -1.009 3.265
F 3.728 1.252 1.384
F 0.544 1.003 1.718
F 6.912 1.003 1.718
F 2.582 3.815 0.708
F -2.582 1.009 3.265
```

Summary:
As for the magnetic moment: 1.0 μB per formula unit. For the raw total energy, the calculation gives -3.965 eV per atom.

=====

3.
Entry from Alexandria: an optimized crystal structure of NaH2F4 (PBE-GGA).

```
14
Lattice="0.000 6.137 3.049 4.217 0.000 3.049 4.217 6.137 0.000" Properties=species:S:1:pos:R:3 pbc="T T T"
Na 0.000 0.000 0.000
Na 2.108 3.069 1.524
H 4.177 4.738 2.997
H 4.256 7.536 2.997
H 6.364 7.807 4.521
H 6.286 10.605 4.521
F 3.632 4.744 2.047
F 4.801 7.531 2.047
F 6.910 7.813 3.572
F 4.781 4.716 4.037
F 5.740 10.599 3.572
F 3.653 7.559 4.037
F 5.761 7.785 5.561
F 6.889 10.627 5.561
```

Summary:
As for the magnetic moment: 1.0 μB per formula unit. The relative energy among the computed polymorphs comes out at 0.00 eV per formula unit. For the raw total energy, the calculation gives -3.870 eV per atom.

=====

4.
Entry from Alexandria: an optimized crystal structure of Na8H3F4 (PBE-GGA).

```
15
Lattice="4.790 -4.793 0.000 4.790 4.793 0.000 -4.784 0.000 4.804" Properties=species:S:1:pos:R:3 pbc="T T T"
Na -0.016 0.000 2.348
Na -2.427 0.000 4.785
Na 4.790 2.442 0.000
Na 2.398 2.407 2.402
Na 2.398 -2.407 2.402
Na 4.790 -2.442 0.000
Na 7.223 0.000 0.019
Na 4.813 0.000 2.456
H 0.003 2.396 2.402
H 0.003 -2.396 2.402
H 2.398 0.000 2.402
F 0.000 0.000 0.000
F -2.392 0.000 2.402
F 2.395 2.396 0.000
F 2.395 -2.396 0.000
```

Summary:
As for the magnetic moment: 1.0 μB per formula unit. For the raw total energy, the calculation gives -3.349 eV per atom.

=====

5.
Entry from Alexandria: an optimized crystal structure of Na3HF5 (PBE-GGA).

```
18
Lattice="-3.165 3.165 4.891 3.165 -3.165 4.891 3.165 3.165 -4.891" Properties=species:S:1:pos:R:3 pbc="T T T"
Na 4.250 1.085 0.000
Na 0.000 0.000 2.445
Na 1.085 2.079 0.000
Na 2.079 1.085 4.891
Na 0.000 0.000 7.336
Na -1.085 2.079 4.891
H 3.165 0.000 2.445
H 0.000 3.165 2.445
F 0.000 0.000 0.000
F 3.997 -0.833 1.526
F 2.332 -0.833 3.365
F 2.332 0.833 1.526
F 3.997 0.833 3.365
F 0.000 0.000 4.891
F -0.833 2.332 1.526
F 0.833 2.332 3.365
F 0.833 3.997 1.526
F -0.833 3.997 3.365
```

Summary:
As for the magnetic moment: 1.1 μB per formula unit. For the raw total energy, the calculation gives -3.847 eV per atom.

=====

6.
Entry from Alexandria: an optimized crystal structure of NaH2F4 (PBE-GGA).

```
14
Lattice="-3.921 3.921 2.609 3.921 -3.921 2.609 3.921 3.921 -2.609" Properties=species:S:1:pos:R:3 pbc="T T T"
Na 0.000 0.000 0.000
Na 0.000 3.921 1.305
H 1.960 3.097 -0.652
H 4.744 1.960 0.652
H 1.960 0.823 1.957
H -0.823 1.960 3.261
F 5.840 -0.763 0.813
F 3.157 -1.919 1.796
F 4.684 2.002 -0.491
F 2.002 0.763 0.813
F 2.002 3.157 0.491
F 4.684 1.919 1.796
F -0.763 1.919 2.118
F 1.919 0.763 3.100
```

Summary:
As for the magnetic moment: 1.0 μB per formula unit. The relative energy among the computed polymorphs comes out at 0.25 eV per formula unit. For the raw total energy, the calculation gives -3.834 eV per atom.

=====

7.
Entry from Alexandria: an optimized crystal structure of Na2HF (PBE-GGA).

```
16
Lattice="5.185 0.000 0.000 0.000 5.185 0.000 0.000 0.000 10.339" Properties=species:S:1:pos:R:3 pbc="T T T"
Na 1.284 1.296 1.292
Na 1.296 3.877 3.877
Na 1.296 3.901 9.047
Na 1.308 1.296 6.462
Na 3.877 3.889 6.462
Na 3.889 1.284 9.047
Na 3.889 1.308 3.877
Na 3.901 3.889 1.292
H 0.000 0.000 5.169
H 0.000 2.592 7.754
H 2.592 0.000 2.585
H 2.592 2.592 0.000
F 0.000 0.000 0.000
F 0.000 2.592 2.585
F 2.592 0.000 7.754
F 2.592 2.592 5.169
```

Summary:
As for the magnetic moment: 0.0 μB per formula unit. The relative energy among the computed polymorphs comes out at 0.25 eV per formula unit. For the raw total energy, the calculation gives -3.366 eV per atom.

=====

8.
Entry from Alexandria: an optimized crystal structure of Na5H4F (PBE-GGA).

```
10
Lattice="5.624 -1.696 0.000 5.624 1.696 0.000 -4.102 0.000 7.220" Properties=species:S:1:pos:R:3 pbc="T T T"
Na 0.000 0.000 0.000
Na -1.034 0.000 5.759
Na 2.068 0.000 4.317
Na 5.079 0.000 2.904
Na 8.181 0.000 1.462
H 1.021 0.000 2.170
H 4.086 0.000 0.730
H 3.061 0.000 6.490
H 6.126 0.000 5.050
F -2.051 0.000 3.610
```

Summary:
As for the magnetic moment: 0.0 μB per formula unit. For the raw total energy, the calculation gives -2.896 eV per atom.